[1]
A plane-wave DFT calculation with PBE was carried out for an optimized crystal structure of SrSCl2.

Results
The offset from the most stable computed form is 187 meV per atom.

Lattice parameters (Å, degrees): 4.745 4.745 9.997 76.27 76.27 90.00
Sites, in units of the cell vectors:
S: 0.500 0.500 0.000
S: 0.250 0.750 0.500
Cl: 0.144 0.625 0.250
Cl: 0.606 0.125 0.250
Cl: 0.375 0.394 0.750
Cl: 0.875 0.856 0.750
Sr: 0.750 0.250 0.500
Sr: 0.000 0.000 0.000



[2]
A plane-wave DFT calculation with PBE was carried out for an optimized crystal structure of Rb2PIrS.

Results
Its raw total energy is -3.859 eV per atom.

Lattice parameters (Å, degrees): 6.530 4.265 6.530 90.00 90.00 90.00
Each line ends with the local moment (μB).
Sites, in units of the cell vectors:
S: 0.000 0.000 0.000  0.02
Rb: 0.500 0.000 0.000  0.01
Rb: 0.000 0.000 0.500  0.01
Ir: 0.000 0.500 0.000  0.19
P: 0.500 0.500 0.500  0.83



[3]
A plane-wave DFT calculation with PBE was carried out for an optimized crystal structure of TbMn4.

Results
The calculation puts the formation energy at 8.72 eV/f.u.

Lattice parameters (Å, degrees): 4.849 4.849 4.849 90.00 90.00 90.00
Each line ends with the local moment (μB).
Sites, in units of the cell vectors:
Tb: 0.500 0.500 0.500  -0.44
Mn: 0.500 0.500 0.000  3.35
Mn: 0.000 0.500 0.500  3.35
Mn: 0.500 0.000 0.500  3.35
Mn: 0.000 0.000 0.000  4.22



[4]
A plane-wave DFT calculation with PBE was carried out for an optimized crystal structure of TaAs2Pt.

Results
The offset from the most stable computed form is 114 meV per atom. The calculation puts the formation energy at -0.75 eV/f.u.

Lattice parameters (Å, degrees): 2.888 2.888 9.471 90.00 90.00 90.00
Sites, in units of the cell vectors:
Pt: 0.000 0.000 0.522
As: 0.000 0.000 0.935
As: 0.500 0.500 0.317
Ta: 0.500 0.500 0.726



[5]
A plane-wave DFT calculation with PBE was carried out for an optimized crystal structure of Ge2PdCl.

Results
The offset from the most stable computed form is 0 meV per atom.

Lattice parameters (Å, degrees): 5.751 5.751 7.601 67.77 67.77 90.00
Sites, in units of the cell vectors:
Pd: 0.000 0.000 0.000
Pd: 0.750 0.250 0.500
Ge: 0.059 0.625 0.250
Ge: 0.375 0.309 0.750
Ge: 0.691 0.125 0.250
Ge: 0.875 0.941 0.750
Cl: 0.500 0.500 0.000
Cl: 0.250 0.750 0.500



[6]
A plane-wave DFT calculation with PBE was carried out for an optimized crystal structure of Ba5Na2.

Results
The offset from the most stable computed form is 16 meV per atom. The calculation puts the formation energy at 0.22 eV/f.u.

Lattice parameters (Å, degrees): 6.886 11.893 10.558 100.77 109.03 89.97
Sites, in units of the cell vectors:
Ba: 0.525 0.175 0.551
Ba: 0.249 0.750 0.000
Ba: 0.475 0.825 0.449
Ba: 0.884 0.961 0.267
Ba: 0.383 0.461 0.267
Ba: 0.617 0.539 0.733
Ba: 0.751 0.250 0.000
Ba: 0.116 0.039 0.733
Ba: 0.974 0.325 0.449
Ba: 0.026 0.675 0.551
Na: 0.828 0.609 0.158
Na: 0.330 0.110 0.158
Na: 0.172 0.391 0.842
Na: 0.670 0.890 0.842



[7]
A plane-wave DFT calculation with PBE was carried out for an optimized crystal structure of Cd7GaHg12.

Results
The offset from the most stable computed form is 4 meV per atom. The calculation puts the formation energy at 0.84 eV/f.u.

Lattice parameters (Å, degrees): 7.703 9.223 9.223 112.57 106.17 106.17
Sites, in units of the cell vectors:
Cd: 0.389 0.287 0.206
Cd: 0.102 0.919 0.713
Cd: 0.611 0.713 0.794
Cd: 0.818 0.206 0.919
Cd: 0.182 0.794 0.081
Cd: 0.500 0.000 0.000
Cd: 0.898 0.081 0.287
Hg: 0.010 0.205 0.677
Hg: 0.333 0.323 0.528
Hg: 0.536 0.690 0.101
Hg: 0.990 0.795 0.323
Hg: 0.565 0.101 0.411
Hg: 0.805 0.472 0.795
Hg: 0.154 0.589 0.690
Hg: 0.195 0.528 0.205
Hg: 0.464 0.310 0.899
Hg: 0.846 0.411 0.310
Hg: 0.435 0.899 0.589
Hg: 0.667 0.677 0.472
Ga: 0.000 0.000 0.000



[8]
A plane-wave DFT calculation with PBE was carried out for an optimized crystal structure of BiNF2.

Results
The offset from the most stable computed form is 350 meV per atom.

Lattice parameters (Å, degrees): 4.175 4.175 4.175 60.00 60.00 60.00
Each line ends with the local moment (μB).
Sites, in units of the cell vectors:
N: 0.000 0.000 0.000  1.31
F: 0.750 0.750 0.750  0.09
F: 0.250 0.250 0.250  0.09
Bi: 0.500 0.500 0.500  -0.08



[9]
A plane-wave DFT calculation with PBE was carried out for an optimized crystal structure of PaNi6Ge.

Results
The calculation puts the formation energy at -1.45 eV/f.u.

Lattice parameters (Å, degrees): 4.731 4.731 4.731 90.00 90.00 90.00
Sites, in units of the cell vectors:
Pa: 0.500 0.500 0.500
Ni: 0.500 0.245 0.000
Ni: 0.000 0.500 0.755
Ni: 0.500 0.755 0.000
Ni: 0.000 0.500 0.245
Ni: 0.755 0.000 0.500
Ni: 0.245 0.000 0.500
Ge: 0.000 0.000 0.000



[10]
A plane-wave DFT calculation with PBE was carried out for an optimized crystal structure of CaMnIr2.

Results
The offset from the most stable computed form is 0 meV per atom. The calculation puts the formation energy at -0.50 eV/f.u.

Lattice parameters (Å, degrees): 2.967 2.967 7.512 90.00 90.00 90.00
Each line ends with the local moment (μB).
Sites, in units of the cell vectors:
Mn: 0.500 0.500 0.250  2.83
Ir: 0.000 0.000 0.451  -0.03
Ir: 0.000 0.000 0.049  -0.03
Ca: 0.500 0.500 0.750  0.01



[11]
A plane-wave DFT calculation with PBE was carried out for an optimized crystal structure of YSc2Cd3.

Results
The calculation puts the formation energy at -1.84 eV/f.u.

Lattice parameters (Å, degrees): 3.604 3.604 10.857 90.00 90.00 90.00
Sites, in units of the cell vectors:
Cd: 0.000 0.000 0.000
Cd: 0.000 0.000 0.316
Cd: 0.000 0.000 0.684
Sc: 0.500 0.500 0.160
Sc: 0.500 0.500 0.840
Y: 0.500 0.500 0.500



[12]
A plane-wave DFT calculation with PBE was carried out for an optimized crystal structure of PrNdInHg.

Results
The calculation puts the formation energy at -1.89 eV/f.u.

Lattice parameters (Å, degrees): 5.493 5.493 5.493 60.00 60.00 60.00
Each line ends with the local moment (μB).
Sites, in units of the cell vectors:
In: 0.250 0.250 0.250  -0.01
Pr: 0.000 0.000 0.000  0.17
Nd: 0.500 0.500 0.500  0.17
Hg: 0.750 0.750 0.750  0.03



[13]
A plane-wave DFT calculation with PBE was carried out for an optimized crystal structure of Na2PaAuSe4.

Results
Its raw total energy is -4.573 eV per atom.

Lattice parameters (Å, degrees): 6.797 6.280 6.280 72.97 57.23 57.23
Sites, in units of the cell vectors:
Se: 0.454 0.603 0.000
Se: 0.546 0.000 0.397
Se: 0.057 0.397 0.000
Se: 0.943 0.000 0.603
Na: 0.500 0.500 0.500
Na: 0.000 0.500 0.500
Au: 0.500 0.000 0.000
Pa: 0.000 0.000 0.000



[14]
A plane-wave DFT calculation with PBE was carried out for an optimized crystal structure of Ce2Mg2Ru3.

Results
The offset from the most stable computed form is 153 meV per atom. The calculation puts the formation energy at -0.95 eV/f.u.

Lattice parameters (Å, degrees): 3.394 7.247 6.200 89.03 89.90 103.63
Sites, in units of the cell vectors:
Mg: 0.097 0.194 0.360
Mg: 0.903 0.806 0.640
Ru: 0.759 0.516 0.328
Ru: 0.241 0.484 0.672
Ru: 0.000 0.000 0.000
Ce: 0.357 0.716 0.140
Ce: 0.643 0.284 0.860



[15]
A plane-wave DFT calculation with PBE was carried out for an optimized crystal structure of ThPaCuRe.

Results
The calculation puts the formation energy at 0.27 eV/f.u.

Lattice parameters (Å, degrees): 4.968 4.968 4.968 60.00 60.00 60.00
Sites, in units of the cell vectors:
Re: 0.250 0.250 0.250
Th: 0.500 0.500 0.500
Cu: 0.750 0.750 0.750
Pa: 0.000 0.000 0.000



[16]
A plane-wave DFT calculation with PBE was carried out for an optimized crystal structure of Hf2TiP2.

Results
The offset from the most stable computed form is 0 meV per atom. The calculation puts the formation energy at -5.60 eV/f.u.

Lattice parameters (Å, degrees): 6.728 6.728 3.605 90.00 90.00 90.00
Sites, in units of the cell vectors:
Hf: 0.164 0.664 0.500
Hf: 0.664 0.836 0.500
Hf: 0.336 0.164 0.500
Hf: 0.836 0.336 0.500
Ti: 0.500 0.500 0.000
Ti: 0.000 0.000 0.000
P: 0.360 0.860 0.000
P: 0.140 0.360 0.000
P: 0.640 0.140 0.000
P: 0.860 0.640 0.000



[17]
A plane-wave DFT calculation with PBE was carried out for an optimized crystal structure of SnBiMo.

Results
The offset from the most stable computed form is 183 meV per atom. The calculation puts the formation energy at 1.13 eV/f.u.

Lattice parameters (Å, degrees): 5.356 5.464 5.477 108.15 106.04 89.69
Sites, in units of the cell vectors:
Mo: 0.750 0.426 0.105
Mo: 0.474 0.300 0.660
Bi: 0.016 0.598 0.772
Bi: 0.824 0.996 0.317
Sn: 0.425 0.745 0.482
Sn: 0.231 0.185 0.030



[18]
A plane-wave DFT calculation with PBE was carried out for an optimized crystal structure of CrTe2As.

Results
Its raw total energy is -4.692 eV per atom.

Lattice parameters (Å, degrees): 3.159 3.159 9.662 90.00 90.00 102.21
Each line ends with the local moment (μB).
Sites, in units of the cell vectors:
Te: 0.000 0.000 0.947  -0.09
Te: 0.000 0.000 0.553  -0.09
Cr: 0.500 0.500 0.750  2.92
As: 0.500 0.500 0.250  -0.07



[19]
A plane-wave DFT calculation with PBE was carried out for an optimized crystal structure of AlCd2Au6.

Results
The calculation puts the formation energy at -1.65 eV/f.u.

Lattice parameters (Å, degrees): 2.956 8.018 8.018 120.00 90.00 90.00
Sites, in units of the cell vectors:
Au: 0.500 0.000 0.723
Au: 0.000 0.630 0.630
Au: 0.000 0.000 0.370
Au: 0.500 0.277 0.277
Au: 0.000 0.370 0.000
Au: 0.500 0.723 0.000
Al: 0.000 0.000 0.000
Cd: 0.500 0.667 0.333
Cd: 0.500 0.333 0.667



[20]
A plane-wave DFT calculation with PBE was carried out for an optimized crystal structure of Ca5Y.

Results
The offset from the most stable computed form is 31 meV per atom. The calculation puts the formation energy at 0.51 eV/f.u.

Lattice parameters (Å, degrees): 6.624 6.624 6.301 90.00 90.00 120.00
Each line ends with the local moment (μB).
Sites, in units of the cell vectors:
Y: 0.333 0.000 0.500  0.13
Ca: 0.667 0.667 0.500  0.02
Ca: 0.659 0.325 0.000  0.01
Ca: 0.008 0.000 0.000  0.01
Ca: 0.333 0.675 0.000  0.01
Ca: 0.000 0.333 0.500  0.02